1.
Density functional theory data (PBE) for a relaxed Rb2TbNdTe4 crystal.

Summary:
Theoretical density (g/cm³): 5.21
Uncorrected formation energy (eV per formula unit): -11.2
Space-group type: P2/m
Total energy (eV/atom): -4.39

a = 7.963 Å, b = 4.597 Å, c = 8.967 Å
α = 90.00°, β = 107.21°, γ = 90.00°
Atoms (fractional coordinates):
Rb  0.000  0.000  0.000
Rb  0.500  0.500  0.000
Tb  0.000  0.500  0.500
Nd  0.500  0.000  0.500
Te  0.228  0.000  0.701
Te  0.260  0.500  0.296
Te  0.740  0.500  0.704
Te  0.772  0.000  0.299


2.
Density functional theory data (PBE) for a relaxed KSe3 crystal.

Summary:
Theoretical density (g/cm³): 3.98
Uncorrected formation energy (eV per formula unit): -0.9
Space-group type: R-3m
ΔE to the lowest computed polymorph (kcal/mol of atoms): 5.642
Total energy (eV/atom): -3.12

a = 7.759 Å, b = 7.759 Å, c = 7.759 Å
α = 31.78°, β = 31.78°, γ = 31.78°
Atoms (fractional coordinates):
K  0.000  0.000  0.000
Se  0.227  0.227  0.227
Se  0.500  0.500  0.500
Se  0.773  0.773  0.773


3.
Density functional theory data (PBE) for a relaxed Tb4CS2 crystal.

Summary:
Theoretical density (g/cm³): 7.30
Uncorrected formation energy (eV per formula unit): -9.1
Space-group type: Cmmm
Total energy (eV/atom): -6.44

a = 6.711 Å, b = 6.711 Å, c = 3.791 Å
α = 90.00°, β = 90.00°, γ = 108.42°
Atoms (fractional coordinates):
Tb  0.216  0.216  0.500
Tb  0.230  0.770  0.000
Tb  0.770  0.230  0.000
Tb  0.784  0.784  0.500
C  0.000  0.000  0.000
S  0.000  0.500  0.500
S  0.500  0.000  0.500


4.
Density functional theory data (PBE) for a relaxed Tb2Ho3Er6Zr crystal.

Summary:
Theoretical density (g/cm³): 8.80
Space-group type: C2/m
Total energy (eV/atom): -4.87
Energy relative to the elements (eV/atom): 0.04

a = 6.041 Å, b = 6.041 Å, c = 11.552 Å
α = 94.98°, β = 94.98°, γ = 119.91°
Atoms (fractional coordinates):
Tb  0.167  0.833  0.000
Tb  0.833  0.167  0.000
Ho  0.000  0.000  0.500
Ho  0.333  0.667  0.500
Ho  0.667  0.333  0.500
Er  0.091  0.418  0.754
Er  0.255  0.255  0.245
Er  0.418  0.091  0.754
Er  0.582  0.909  0.246
Er  0.745  0.745  0.755
Er  0.909  0.582  0.246
Zr  0.500  0.500  0.000


5.
Density functional theory data (PBE) for a relaxed SrLaAg10 crystal.

Summary:
Theoretical density (g/cm³): 8.18
Space-group type: Pmmm
Total energy (eV/atom): -3.08
Energy relative to the elements (eV/atom): -0.16

a = 4.725 Å, b = 5.688 Å, c = 9.864 Å
α = 90.00°, β = 90.00°, γ = 90.00°
Atoms (fractional coordinates):
Sr  0.000  0.000  0.000
La  0.000  0.500  0.500
Ag  0.000  0.000  0.337
Ag  0.000  0.000  0.663
Ag  0.000  0.500  0.169
Ag  0.000  0.500  0.831
Ag  0.500  0.000  0.500
Ag  0.500  0.252  0.253
Ag  0.500  0.252  0.747
Ag  0.500  0.500  0.000
Ag  0.500  0.748  0.253
Ag  0.500  0.748  0.747


6.
Density functional theory data (PBE) for a relaxed Bi2IrS crystal.

Summary:
Theoretical density (g/cm³): 8.45
Uncorrected formation energy (eV per formula unit): 1.0
Space-group type: I-42d
Total energy (eV/atom): -4.94

a = 7.728 Å, b = 7.728 Å, c = 7.728 Å
α = 131.67°, β = 131.67°, γ = 70.75°
Atoms (fractional coordinates):
Bi  0.098  0.625  0.973
Bi  0.375  0.348  0.473
Bi  0.652  0.125  0.027
Bi  0.875  0.902  0.527
Ir  0.000  0.000  0.000
Ir  0.750  0.250  0.500
S  0.250  0.750  0.500
S  0.500  0.500  0.000


Number 2 is which compound?
KSe3


Repeat the second record exactly.
Density functional theory data (PBE) for a relaxed KSe3 crystal.

Summary:
Theoretical density (g/cm³): 3.98
Uncorrected formation energy (eV per formula unit): -0.9
Space-group type: R-3m
ΔE to the lowest computed polymorph (kcal/mol of atoms): 5.642
Total energy (eV/atom): -3.12

a = 7.759 Å, b = 7.759 Å, c = 7.759 Å
α = 31.78°, β = 31.78°, γ = 31.78°
Atoms (fractional coordinates):
K  0.000  0.000  0.000
Se  0.227  0.227  0.227
Se  0.500  0.500  0.500
Se  0.773  0.773  0.773


Which formula does entry 3 have?
Tb4CS2


Which value of theoretical density does entry 2 give?
3.98 g/cm³